Model A:
A relaxed structure of Na2V2Re, computed with PBE.

```
Na2V2Re
1.0
7.9888 0.0000 0.0000
0.0000 7.9888 0.0000
0.0000 0.0000 2.6392
Na V Re
4 4 2
Direct
0.1053 0.3947 0.0000
0.3947 0.8947 0.0000
0.6053 0.1053 0.0000
0.8947 0.6053 0.0000
0.2004 0.7004 0.5000
0.2996 0.2004 0.5000
0.7004 0.7996 0.5000
0.7996 0.2996 0.5000
0.0000 0.0000 0.0000
0.5000 0.5000 0.0000
```

Summary:
The value obtained for the total moment is 2.93 μB per formula unit. For the volume, the calculation gives 168.4 Å³ per cell.



Model B:
A relaxed structure of Na2V2Re, computed with PBE.

```
Na2V2Re
1.0
-1.5243 1.5243 10.9671
1.5243 -1.5243 10.9671
1.5243 1.5243 -10.9671
Na V Re
2 2 1
Direct
0.1112 0.1112 0.0000
0.8888 0.8888 0.0000
0.2500 0.7500 0.5000
0.7500 0.2500 0.5000
0.5000 0.5000 0.0000
```

Summary:
The value obtained for the total moment is 0.00 μB per formula unit. For the volume, the calculation gives 101.9 Å³ per cell.



It comes down to model B, which is 185 meV per atom more stable than the next structure.



Model A:
A relaxed structure of Na2Y2Re, computed with PBE.

```
Na2Y2Re
1.0
-1.8312 1.8312 9.9547
1.8312 -1.8312 9.9547
1.8312 1.8312 -9.9547
Na Y Re
2 2 1
Direct
0.2500 0.7500 0.5000
0.7500 0.2500 0.5000
0.0794 0.0794 0.0000
0.9206 0.9206 0.0000
0.5000 0.5000 0.0000
```

Summary:
The value obtained for the total moment is 0.00 μB per formula unit. For the volume, the calculation gives 133.5 Å³ per cell.



Model B:
A relaxed structure of Na2Y2Re, computed with PBE.

```
Na2Y2Re
1.0
7.2997 0.0000 0.0000
0.0000 7.2997 0.0000
0.0000 0.0000 6.0714
Na Y Re
4 4 2
Direct
0.1705 0.3295 0.0000
0.3295 0.8295 0.0000
0.6705 0.1705 0.0000
0.8295 0.6705 0.0000
0.1757 0.6757 0.5000
0.3243 0.1757 0.5000
0.6757 0.8243 0.5000
0.8243 0.3243 0.5000
0.0000 0.0000 0.5000
0.5000 0.5000 0.5000
```

Summary:
The value obtained for the total moment is 0.75 μB per formula unit. For the volume, the calculation gives 323.5 Å³ per cell.



It comes down to model A, which is 232 meV per atom more stable than the next structure.



Model A:
A relaxed structure of NaY3Re, computed with PBE.

```
NaY3Re
1.0
5.5064 0.0000 0.0000
0.0000 5.5064 0.0000
0.0000 0.0000 5.5064
Na Y Re
1 3 1
Direct
0.0000 0.0000 0.0000
0.0000 0.5000 0.5000
0.5000 0.0000 0.5000
0.5000 0.5000 0.0000
0.5000 0.5000 0.5000
```

Summary:
The value obtained for the total moment is 0.00 μB per formula unit. For the volume, the calculation gives 167.0 Å³ per cell.



Model B:
A relaxed structure of NaY3Re, computed with PBE.

```
NaY3Re
1.0
5.2604 0.0000 0.0000
0.0000 5.2604 0.0000
0.0000 0.0000 5.2604
Na Y Re
1 3 1
Direct
0.0000 0.0000 0.0000
0.0000 0.0000 0.5000
0.0000 0.5000 0.0000
0.5000 0.0000 0.0000
0.5000 0.5000 0.5000
```

Summary:
The value obtained for the total moment is 0.64 μB per formula unit. For the volume, the calculation gives 145.6 Å³ per cell.



It comes down to model A, which is 1388 meV per atom more stable than the next structure.



Model A:
A relaxed structure of Na2YRe, computed with PBE.

```
Na2YRe
1.0
0.0000 3.5586 3.5586
3.5586 0.0000 3.5586
3.5586 3.5586 0.0000
Na Y Re
2 1 1
Direct
0.2500 0.2500 0.2500
0.7500 0.7500 0.7500
0.0000 0.0000 0.0000
0.5000 0.5000 0.5000
```

Summary:
The value obtained for the total moment is 1.55 μB per formula unit. For the volume, the calculation gives 90.1 Å³ per cell.



Model B:
A relaxed structure of Na2YRe, computed with PBE.

```
Na2YRe
1.0
-2.0237 2.0237 12.0440
2.0237 -2.0237 12.0440
2.0237 2.0237 -12.0440
Na Y Re
4 2 2
Direct
0.1019 0.6250 0.9769
0.3750 0.3519 0.4769
0.6481 0.1250 0.0231
0.8750 0.8981 0.5231
0.2500 0.7500 0.5000
0.5000 0.5000 0.0000
0.0000 0.0000 0.0000
0.7500 0.2500 0.5000
```

Summary:
The value obtained for the total moment is 1.17 μB per formula unit. For the volume, the calculation gives 197.3 Å³ per cell.



It comes down to model B, which is 234 meV per atom more stable than the next structure.



Model A:
A relaxed structure of Na3ZnRe, computed with PBE.

```
Na3ZnRe
1.0
5.8525 0.0000 0.0000
0.0000 5.8525 0.0000
0.0000 0.0000 5.8525
Na Zn Re
3 1 1
Direct
0.0000 0.0000 0.5000
0.0000 0.5000 0.0000
0.5000 0.0000 0.0000
0.5000 0.5000 0.5000
0.0000 0.0000 0.0000
```

Summary:
The value obtained for the total moment is 3.61 μB per formula unit. For the volume, the calculation gives 200.5 Å³ per cell.



Model B:
A relaxed structure of Na3ZnRe, computed with PBE.

```
Na3ZnRe
1.0
5.3840 0.0000 0.0000
0.0000 5.3840 0.0000
0.0000 0.0000 5.3840
Na Zn Re
3 1 1
Direct
0.0000 0.0000 0.5000
0.0000 0.5000 0.0000
0.5000 0.0000 0.0000
0.0000 0.0000 0.0000
0.5000 0.5000 0.5000
```

Summary:
The value obtained for the total moment is 4.10 μB per formula unit. For the volume, the calculation gives 156.1 Å³ per cell.



It comes down to model B, which is 64 meV per atom more stable than the next structure.



Model A:
A relaxed structure of NaZnRe3, computed with PBE.

```
NaZnRe3
1.0
4.4858 0.0000 0.0000
0.0000 4.4858 0.0000
0.0000 0.0000 4.4858
Na Zn Re
1 1 3
Direct
0.0000 0.0000 0.0000
0.5000 0.5000 0.5000
0.0000 0.0000 0.5000
0.0000 0.5000 0.0000
0.5000 0.0000 0.0000
```

Summary:
The value obtained for the total moment is 3.34 μB per formula unit. For the volume, the calculation gives 90.3 Å³ per cell.



Model B:
A relaxed structure of NaZnRe3, computed with PBE.

```
NaZnRe3
1.0
4.5824 0.0000 0.0000
0.0000 4.5824 0.0000
0.0000 0.0000 4.5824
Na Zn Re
1 1 3
Direct
0.0000 0.0000 0.0000
0.5000 0.5000 0.5000
0.0000 0.5000 0.5000
0.5000 0.0000 0.5000
0.5000 0.5000 0.0000
```

Summary:
The value obtained for the total moment is 0.00 μB per formula unit. For the volume, the calculation gives 96.2 Å³ per cell.



It comes down to model B, which is 875 meV per atom more stable than the next structure.



Model A:
A relaxed structure of NaZr3Re, computed with PBE.

```
NaZr3Re
1.0
4.8076 0.0000 0.0000
0.0000 4.8076 0.0000
0.0000 0.0000 4.8076
Na Zr Re
1 3 1
Direct
0.0000 0.0000 0.0000
0.0000 0.0000 0.5000
0.0000 0.5000 0.0000
0.5000 0.0000 0.0000
0.5000 0.5000 0.5000
```

Summary:
The value obtained for the total moment is 0.00 μB per formula unit. For the volume, the calculation gives 111.1 Å³ per cell.



Model B:
A relaxed structure of NaZr3Re, computed with PBE.

```
NaZr3Re
1.0
5.1708 0.0000 0.0000
0.0000 5.1708 0.0000
0.0000 0.0000 5.1708
Na Zr Re
1 3 1
Direct
0.0000 0.0000 0.0000
0.0000 0.5000 0.5000
0.5000 0.0000 0.5000
0.5000 0.5000 0.0000
0.5000 0.5000 0.5000
```

Summary:
The value obtained for the total moment is 0.86 μB per formula unit. For the volume, the calculation gives 138.3 Å³ per cell.



It comes down to model B, which is 1362 meV per atom more stable than the next structure.



Model A:
A relaxed structure of NaRuRh3, computed with PBE.

```
NaRuRh3
1.0
4.7220 0.0000 0.0000
0.0000 4.7220 0.0000
0.0000 0.0000 4.7220
Na Ru Rh
1 1 3
Direct
0.0000 0.0000 0.0000
0.5000 0.5000 0.5000
0.0000 0.5000 0.5000
0.5000 0.0000 0.5000
0.5000 0.5000 0.0000
```

Summary:
The value obtained for the total moment is 0.00 μB per formula unit. For the volume, the calculation gives 105.3 Å³ per cell.



Model B:
A relaxed structure of NaRuRh3, computed with PBE.

```
NaRuRh3
1.0
4.3770 0.0000 0.0000
0.0000 4.3770 0.0000
0.0000 0.0000 4.3770
Na Ru Rh
1 1 3
Direct
0.0000 0.0000 0.0000
0.5000 0.5000 0.5000
0.0000 0.0000 0.5000
0.0000 0.5000 0.0000
0.5000 0.0000 0.0000
```

Summary:
The value obtained for the total moment is 0.00 μB per formula unit. For the volume, the calculation gives 83.9 Å³ per cell.



It comes down to model A, which is 983 meV per atom more stable than the next structure.



Model A:
A relaxed structure of NaRu2Rh2, computed with PBE.

```
NaRu2Rh2
1.0
7.6696 0.0000 0.0000
0.0000 7.6696 0.0000
0.0000 0.0000 2.7066
Na Ru Rh
2 4 4
Direct
0.0000 0.0000 0.0000
0.5000 0.5000 0.0000
0.1176 0.3824 0.0000
0.3824 0.8824 0.0000
0.6176 0.1176 0.0000
0.8824 0.6176 0.0000
0.1748 0.6748 0.5000
0.3252 0.1748 0.5000
0.6748 0.8252 0.5000
0.8252 0.3252 0.5000
```

Summary:
The value obtained for the total moment is 0.00 μB per formula unit. For the volume, the calculation gives 159.2 Å³ per cell.



Model B:
A relaxed structure of NaRu2Rh2, computed with PBE.

```
NaRu2Rh2
1.0
7.6978 0.0000 0.0000
0.0000 7.6978 0.0000
0.0000 0.0000 2.6856
Na Ru Rh
2 4 4
Direct
0.0000 0.0000 0.0000
0.5000 0.5000 0.0000
0.1727 0.3273 0.5000
0.3273 0.8273 0.5000
0.6727 0.1727 0.5000
0.8273 0.6727 0.5000
0.1212 0.6212 0.0000
0.3788 0.1212 0.0000
0.6212 0.8788 0.0000
0.8788 0.3788 0.0000
```

Summary:
The value obtained for the total moment is 0.37 μB per formula unit. For the volume, the calculation gives 159.1 Å³ per cell.



It comes down to model A, which is 58 meV per atom more stable than the next structure.



Model A:
A relaxed structure of NaRuRh2, computed with PBE.

```
NaRuRh2
1.0
-3.6160 3.6160 2.6993
3.6160 -3.6160 2.6993
3.6160 3.6160 -2.6993
Na Ru Rh
2 2 4
Direct
0.0000 0.0000 0.0000
0.7500 0.2500 0.5000
0.2500 0.7500 0.5000
0.5000 0.5000 0.0000
0.1737 0.6250 0.0487
0.3750 0.4237 0.5487
0.5763 0.1250 0.9513
0.8750 0.8263 0.4513
```

Summary:
The value obtained for the total moment is 0.00 μB per formula unit. For the volume, the calculation gives 141.2 Å³ per cell.



Model B:
A relaxed structure of NaRuRh2, computed with PBE.

```
NaRuRh2
1.0
0.0000 3.1228 3.1228
3.1228 0.0000 3.1228
3.1228 3.1228 0.0000
Na Ru Rh
1 1 2
Direct
0.0000 0.0000 0.0000
0.5000 0.5000 0.5000
0.2500 0.2500 0.2500
0.7500 0.7500 0.7500
```

Summary:
The value obtained for the total moment is 2.99 μB per formula unit. For the volume, the calculation gives 60.9 Å³ per cell.



It comes down to model B, which is 209 meV per atom more stable than the next structure.



Model A:
A relaxed structure of Na2RuRh, computed with PBE.

```
Na2RuRh
1.0
-3.9896 3.9896 2.4501
3.9896 -3.9896 2.4501
3.9896 3.9896 -2.4501
Na Ru Rh
4 2 2
Direct
0.1141 0.6250 0.9891
0.3750 0.3641 0.4891
0.6359 0.1250 0.0109
0.8750 0.8859 0.5109
0.2500 0.7500 0.5000
0.5000 0.5000 0.0000
0.0000 0.0000 0.0000
0.7500 0.2500 0.5000
```

Summary:
The value obtained for the total moment is 1.33 μB per formula unit. For the volume, the calculation gives 156.0 Å³ per cell.



Model B:
A relaxed structure of Na2RuRh, computed with PBE.

```
Na2RuRh
1.0
0.0000 3.2935 3.2935
3.2935 0.0000 3.2935
3.2935 3.2935 0.0000
Na Ru Rh
2 1 1
Direct
0.2500 0.2500 0.2500
0.7500 0.7500 0.7500
0.0000 0.0000 0.0000
0.5000 0.5000 0.5000
```

Summary:
The value obtained for the total moment is 2.86 μB per formula unit. For the volume, the calculation gives 71.5 Å³ per cell.



It comes down to model A, which is 63 meV per atom more stable than the next structure.



Model A:
A relaxed structure of NaRh3S, computed with PBE.

```
NaRh3S
1.0
4.5867 0.0000 0.0000
0.0000 4.5867 0.0000
0.0000 0.0000 4.5867
Na Rh S
1 3 1
Direct
0.0000 0.0000 0.0000
0.0000 0.0000 0.5000
0.0000 0.5000 0.0000
0.5000 0.0000 0.0000
0.5000 0.5000 0.5000
```

Summary:
The value obtained for the total moment is 4.03 μB per formula unit. For the volume, the calculation gives 96.5 Å³ per cell.



Model B:
A relaxed structure of NaRh3S, computed with PBE.

```
NaRh3S
1.0
4.4163 0.0000 0.0000
0.0000 4.4163 0.0000
0.0000 0.0000 4.4163
Na Rh S
1 3 1
Direct
0.0000 0.0000 0.0000
0.0000 0.5000 0.5000
0.5000 0.0000 0.5000
0.5000 0.5000 0.0000
0.5000 0.5000 0.5000
```

Summary:
The value obtained for the total moment is 0.00 μB per formula unit. For the volume, the calculation gives 86.1 Å³ per cell.



It comes down to model B, which is 1872 meV per atom more stable than the next structure.



Model A:
A relaxed structure of NaRhS3, computed with PBE.

```
NaRhS3
1.0
4.7289 0.0000 0.0000
0.0000 4.7289 0.0000
0.0000 0.0000 4.7289
Na Rh S
1 1 3
Direct
0.0000 0.0000 0.0000
0.5000 0.5000 0.5000
0.0000 0.5000 0.5000
0.5000 0.0000 0.5000
0.5000 0.5000 0.0000
```

Summary:
The value obtained for the total moment is 2.21 μB per formula unit. For the volume, the calculation gives 105.7 Å³ per cell.



Model B:
A relaxed structure of NaRhS3, computed with PBE.

```
NaRhS3
1.0
4.7563 0.0000 0.0000
0.0000 4.7563 0.0000
0.0000 0.0000 4.7563
Na Rh S
1 1 3
Direct
0.0000 0.0000 0.0000
0.5000 0.5000 0.5000
0.0000 0.0000 0.5000
0.0000 0.5000 0.0000
0.5000 0.0000 0.0000
```

Summary:
The value obtained for the total moment is 1.07 μB per formula unit. For the volume, the calculation gives 107.6 Å³ per cell.



It comes down to model A, which is 1344 meV per atom more stable than the next structure.